(1)
Computed, not measured: a geometry-optimized Mg2GaHg5 structure at the PBE level of DFT.

**Raw total energy**: -0.038 Ha/atom
**N(E_F)**: 4.3 states/eV/cell
**Magnetization**: 0.0000 μB per atom
**Energy of formation from the pure elements**: -0.06 eV/atom

a b c (Å): 3.720 8.312 11.988
angles (deg): 90.00 90.00 90.00
Element x y z (fractional)
1 Mg 0.500 0.284 0.367
2 Mg 0.500 0.716 0.633
3 Mg 0.500 0.216 0.867
4 Mg 0.500 0.784 0.133
5 Ga 0.000 0.000 0.500
6 Ga 0.000 0.500 0.000
7 Hg 0.500 0.285 0.113
8 Hg 0.500 0.715 0.887
9 Hg 0.500 0.785 0.387
10 Hg 0.500 0.215 0.613
11 Hg 0.000 0.950 0.747
12 Hg 0.000 0.050 0.253
13 Hg 0.000 0.450 0.753
14 Hg 0.000 0.550 0.247
15 Hg 0.000 0.500 0.500
16 Hg 0.000 0.000 0.000



(2)
Computed, not measured: a geometry-optimized KRbGeSe3 structure at the PBE level of DFT.

**Raw total energy**: -0.135 Ha/atom
**N(E_F)**: 0.0 states/eV/cell
**Magnetization**: 0.0000 μB per atom

a b c (Å): 6.943 6.943 10.221
angles (deg): 92.52 92.52 90.87
Element x y z (fractional)
1 K 0.266 0.734 0.500
2 K 0.734 0.266 0.500
3 Rb 0.817 0.817 0.881
4 Rb 0.183 0.183 0.119
5 Ge 0.172 0.172 0.713
6 Ge 0.828 0.828 0.287
7 Se 0.243 0.243 0.503
8 Se 0.314 0.923 0.816
9 Se 0.923 0.314 0.816
10 Se 0.077 0.686 0.184
11 Se 0.686 0.077 0.184
12 Se 0.757 0.757 0.496